# LiMo3O8 | the Alexandria database | PBE with a Hubbard U | optimized geometry
data_LiMo3O8
_cell_length_a 8.998
_cell_length_b 5.923
_cell_length_c 6.715
_cell_angle_alpha 90.00
_cell_angle_beta 92.97
_cell_angle_gamma 90.00
_symmetry_space_group_name_H-M 'C 1 2/m 1'
_symmetry_Int_Tables_number 12
loop_
_symmetry_equiv_pos_as_xyz
'x,y,z'
'-x,-y,-z'
'-x,y,-z'
'x,-y,z'
'x+1/2,y+1/2,z'
'-x+1/2,-y+1/2,-z'
'-x+1/2,y+1/2,-z'
'x+1/2,-y+1/2,z'
loop_
_atom_site_label
_atom_site_fract_x
_atom_site_fract_y
_atom_site_fract_z
_atom_site_occupancy
Li1 0.000 0.000 0.000 1
Mo1 0.000 0.000 0.500 1
Mo2 0.150 0.500 0.746 1
O1 0.032 0.246 0.735 1
O2 0.233 0.000 0.461 1
O3 0.236 0.000 0.036 1
# Total magnetic moment in μB per cell: 6.00
# Crystal system: monoclinic
# Excess energy over the best structure of this formula in the dataset in kJ/mol of atoms: 0.0